1) A plane-wave DFT calculation with PBE was carried out for a relaxed structure of YTa2O2.

Calculated values
Total moment, μB per atom: 0.000

Structure (CIF):
```
data_YTa2O2
_symmetry_space_group_name_H-M 'P 4/m b m'
_symmetry_Int_Tables_number 127
_symmetry_space_group_name_Hall '-P 4 2ab'
_cell_length_a 6.3351
_cell_length_b 6.3351
_cell_length_c 4.0494
_cell_angle_alpha 90.00
_cell_angle_beta 90.00
_cell_angle_gamma 90.00
loop_
_atom_site_label
_atom_site_type_symbol
_atom_site_fract_x
_atom_site_fract_y
_atom_site_fract_z
Y1 Y 0.0000 0.0000 0.0000
Ta1 Ta 0.1597 0.3403 0.5000
O1 O 0.1649 0.3351 0.0000
```

2) A plane-wave DFT calculation with PBE was carried out for a relaxed structure of YTa2O2.

Calculated values
Total moment, μB per atom: 0.000

Structure (CIF):
```
data_YTa2O2
_symmetry_space_group_name_H-M 'I 4/m m m'
_symmetry_Int_Tables_number 139
_symmetry_space_group_name_Hall '-I 4 2'
_cell_length_a 3.7354
_cell_length_b 3.7354
_cell_length_c 11.2048
_cell_angle_alpha 90.00
_cell_angle_beta 90.00
_cell_angle_gamma 90.00
loop_
_atom_site_label
_atom_site_type_symbol
_atom_site_fract_x
_atom_site_fract_y
_atom_site_fract_z
Y1 Y 0.0000 0.0000 0.0000
Ta1 Ta 0.0000 0.5000 0.2500
O1 O 0.0000 0.0000 0.3747
```

The data favor 1); the next most stable structure lies 667 meV/atom above it.

1) A plane-wave DFT calculation with PBE was carried out for a relaxed structure of TaZn2O.

Calculated values
Total moment, μB per atom: 0.000

Structure (CIF):
```
data_TaZn2O
_symmetry_space_group_name_H-M 'I -4 2 d'
_symmetry_Int_Tables_number 122
_symmetry_space_group_name_Hall 'I -4 2bw'
_cell_length_a 7.3707
_cell_length_b 7.3707
_cell_length_c 4.2274
_cell_angle_alpha 90.00
_cell_angle_beta 90.00
_cell_angle_gamma 90.00
loop_
_atom_site_label
_atom_site_type_symbol
_atom_site_fract_x
_atom_site_fract_y
_atom_site_fract_z
Ta1 Ta 0.0000 0.0000 0.0000
Zn1 Zn 0.1808 0.2500 0.6250
O1 O 0.0000 0.0000 0.5000
```

2) A plane-wave DFT calculation with PBE was carried out for a relaxed structure of TaZn2O.

Calculated values
Total moment, μB per atom: 0.000

Structure (CIF):
```
data_TaZn2O
_symmetry_space_group_name_H-M 'F m -3 m'
_symmetry_Int_Tables_number 225
_symmetry_space_group_name_Hall '-F 4 2 3'
_cell_length_a 6.1691
_cell_length_b 6.1691
_cell_length_c 6.1691
_cell_angle_alpha 90.00
_cell_angle_beta 90.00
_cell_angle_gamma 90.00
loop_
_atom_site_label
_atom_site_type_symbol
_atom_site_fract_x
_atom_site_fract_y
_atom_site_fract_z
Ta1 Ta 0.0000 0.0000 0.0000
Zn1 Zn 0.2500 0.2500 0.2500
O1 O 0.0000 0.0000 0.5000
```

The data favor 1); the next most stable structure lies 926 meV/atom above it.

1) A plane-wave DFT calculation with PBE was carried out for a relaxed structure of TaZn3O.

Calculated values
Total moment, μB per atom: 0.417

Structure (CIF):
```
data_TaZn3O
_symmetry_space_group_name_H-M 'P m -3 m'
_symmetry_Int_Tables_number 221
_symmetry_space_group_name_Hall '-P 4 2 3'
_cell_length_a 4.2045
_cell_length_b 4.2045
_cell_length_c 4.2045
_cell_angle_alpha 90.00
_cell_angle_beta 90.00
_cell_angle_gamma 90.00
loop_
_atom_site_label
_atom_site_type_symbol
_atom_site_fract_x
_atom_site_fract_y
_atom_site_fract_z
Ta1 Ta 0.0000 0.0000 0.0000
Zn1 Zn 0.0000 0.5000 0.5000
O1 O 0.5000 0.5000 0.5000
```

2) A plane-wave DFT calculation with PBE was carried out for a relaxed structure of TaZn3O.

Calculated values
Total moment, μB per atom: 0.000

Structure (CIF):
```
data_TaZn3O
_symmetry_space_group_name_H-M 'P m -3 m'
_symmetry_Int_Tables_number 221
_symmetry_space_group_name_Hall '-P 4 2 3'
_cell_length_a 5.1026
_cell_length_b 5.1026
_cell_length_c 5.1026
_cell_angle_alpha 90.00
_cell_angle_beta 90.00
_cell_angle_gamma 90.00
loop_
_atom_site_label
_atom_site_type_symbol
_atom_site_fract_x
_atom_site_fract_y
_atom_site_fract_z
Ta1 Ta 0.0000 0.0000 0.0000
Zn1 Zn 0.0000 0.0000 0.5000
O1 O 0.5000 0.5000 0.5000
```

The data favor 1); the next most stable structure lies 1294 meV/atom above it.

1) A plane-wave DFT calculation with PBE was carried out for a relaxed structure of Ta2ZnO.

Calculated values
Total moment, μB per atom: 0.000

Structure (CIF):
```
data_Ta2ZnO
_symmetry_space_group_name_H-M 'F m -3 m'
_symmetry_Int_Tables_number 225
_symmetry_space_group_name_Hall '-F 4 2 3'
_cell_length_a 6.0914
_cell_length_b 6.0914
_cell_length_c 6.0914
_cell_angle_alpha 90.00
_cell_angle_beta 90.00
_cell_angle_gamma 90.00
loop_
_atom_site_label
_atom_site_type_symbol
_atom_site_fract_x
_atom_site_fract_y
_atom_site_fract_z
Ta1 Ta 0.2500 0.2500 0.2500
Zn1 Zn 0.0000 0.0000 0.0000
O1 O 0.0000 0.0000 0.5000
```

2) A plane-wave DFT calculation with PBE was carried out for a relaxed structure of Ta2ZnO.

Calculated values
Total moment, μB per atom: 0.000

Structure (CIF):
```
data_Ta2ZnO
_symmetry_space_group_name_H-M 'I -4 2 d'
_symmetry_Int_Tables_number 122
_symmetry_space_group_name_Hall 'I -4 2bw'
_cell_length_a 4.9581
_cell_length_b 4.9581
_cell_length_c 11.6484
_cell_angle_alpha 90.00
_cell_angle_beta 90.00
_cell_angle_gamma 90.00
loop_
_atom_site_label
_atom_site_type_symbol
_atom_site_fract_x
_atom_site_fract_y
_atom_site_fract_z
Ta1 Ta 0.1404 0.2500 0.1250
Zn1 Zn 0.0000 0.0000 0.5000
O1 O 0.0000 0.0000 0.0000
```

The data favor 2); the next most stable structure lies 250 meV/atom above it.

1) A plane-wave DFT calculation with PBE was carried out for a relaxed structure of Ta2ZnO6.

Calculated values
Total moment, μB per atom: 0.000

Structure (CIF):
```
data_Ta2ZnO6
_symmetry_space_group_name_H-M 'P b c n'
_symmetry_Int_Tables_number 60
_symmetry_space_group_name_Hall '-P 2n 2ab'
_cell_length_a 4.7587
_cell_length_b 17.3633
_cell_length_c 5.1153
_cell_angle_alpha 90.00
_cell_angle_beta 90.00
_cell_angle_gamma 90.00
loop_
_atom_site_label
_atom_site_type_symbol
_atom_site_fract_x
_atom_site_fract_y
_atom_site_fract_z
Ta1 Ta 0.0000 0.0559 0.2500
Ta2 Ta 0.0000 0.2808 0.7500
Zn1 Zn 0.0000 0.3982 0.2500
O1 O 0.2169 0.0353 0.5720
O2 O 0.2297 0.3718 0.6010
O3 O 0.2401 0.2882 0.0723
```

2) A plane-wave DFT calculation with PBE was carried out for a relaxed structure of Ta2ZnO6.

Calculated values
Total moment, μB per atom: 0.000

Structure (CIF):
```
data_Ta2ZnO6
_symmetry_space_group_name_H-M 'P 3 2 1'
_symmetry_Int_Tables_number 150
_symmetry_space_group_name_Hall 'P 3 2"'
_cell_length_a 8.8050
_cell_length_b 8.8050
_cell_length_c 4.6174
_cell_angle_alpha 90.00
_cell_angle_beta 90.00
_cell_angle_gamma 120.00
loop_
_atom_site_label
_atom_site_type_symbol
_atom_site_fract_x
_atom_site_fract_y
_atom_site_fract_z
Ta1 Ta 0.0000 0.3043 0.0000
Ta2 Ta 0.0000 0.6386 0.5000
Zn1 Zn 0.0000 0.0000 0.5000
Zn2 Zn 0.3333 0.6667 0.9904
O1 O 0.0980 0.5410 0.2398
O2 O 0.1125 0.8787 0.2623
O3 O 0.2099 0.7812 0.7559
```

The data favor 1); the next most stable structure lies 21 meV/atom above it.

1) A plane-wave DFT calculation with PBE was carried out for a relaxed structure of Zr3TaO.

Calculated values
Total moment, μB per atom: 0.000

Structure (CIF):
```
data_Zr3TaO
_symmetry_space_group_name_H-M 'P m -3 m'
_symmetry_Int_Tables_number 221
_symmetry_space_group_name_Hall '-P 4 2 3'
_cell_length_a 5.1185
_cell_length_b 5.1185
_cell_length_c 5.1185
_cell_angle_alpha 90.00
_cell_angle_beta 90.00
_cell_angle_gamma 90.00
loop_
_atom_site_label
_atom_site_type_symbol
_atom_site_fract_x
_atom_site_fract_y
_atom_site_fract_z
Zr1 Zr 0.0000 0.0000 0.5000
Ta1 Ta 0.0000 0.0000 0.0000
O1 O 0.5000 0.5000 0.5000
```

2) A plane-wave DFT calculation with PBE was carried out for a relaxed structure of Zr3TaO.

Calculated values
Total moment, μB per atom: 0.000

Structure (CIF):
```
data_Zr3TaO
_symmetry_space_group_name_H-M 'P m -3 m'
_symmetry_Int_Tables_number 221
_symmetry_space_group_name_Hall '-P 4 2 3'
_cell_length_a 4.5021
_cell_length_b 4.5021
_cell_length_c 4.5021
_cell_angle_alpha 90.00
_cell_angle_beta 90.00
_cell_angle_gamma 90.00
loop_
_atom_site_label
_atom_site_type_symbol
_atom_site_fract_x
_atom_site_fract_y
_atom_site_fract_z
Zr1 Zr 0.0000 0.0000 0.5000
Ta1 Ta 0.5000 0.5000 0.5000
O1 O 0.0000 0.0000 0.0000
```

The data favor 2); the next most stable structure lies 2315 meV/atom above it.

1) A plane-wave DFT calculation with PBE was carried out for a relaxed structure of TbTcO5.

Calculated values
Total moment, μB per atom: 0.000

Structure (CIF):
```
data_TbTcO5
_symmetry_space_group_name_H-M 'C 1 2/c 1'
_symmetry_Int_Tables_number 15
_symmetry_space_group_name_Hall '-C 2yc'
_cell_length_a 9.0156
_cell_length_b 6.3664
_cell_length_c 7.5718
_cell_angle_alpha 90.00
_cell_angle_beta 114.94
_cell_angle_gamma 90.00
loop_
_atom_site_label
_atom_site_type_symbol
_atom_site_fract_x
_atom_site_fract_y
_atom_site_fract_z
Tb1 Tb 0.0000 0.0549 0.2500
Tc1 Tc 0.0000 0.5000 0.0000
O1 O 0.0000 0.4249 0.2500
O2 O 0.0138 0.2090 0.9616
O3 O 0.2231 0.4799 0.6157
```

2) A plane-wave DFT calculation with PBE was carried out for a relaxed structure of TbTcO5.

Calculated values
Total moment, μB per atom: 0.000

Structure (CIF):
```
data_TbTcO5
_symmetry_space_group_name_H-M 'C 1 2/c 1'
_symmetry_Int_Tables_number 15
_symmetry_space_group_name_Hall '-C 2yc'
_cell_length_a 8.2419
_cell_length_b 7.9615
_cell_length_c 8.7980
_cell_angle_alpha 90.00
_cell_angle_beta 116.17
_cell_angle_gamma 90.00
loop_
_atom_site_label
_atom_site_type_symbol
_atom_site_fract_x
_atom_site_fract_y
_atom_site_fract_z
Tb1 Tb 0.0000 0.0000 0.0000
Tc1 Tc 0.0000 0.3204 0.2500
O1 O 0.0000 0.0692 0.2500
O2 O 0.0342 0.2775 0.0614
O3 O 0.1952 0.4452 0.3530
```

The data favor 2); the next most stable structure lies 46 meV/atom above it.

1) A plane-wave DFT calculation with PBE was carried out for a relaxed structure of Tb2TcO6.

Calculated values
Total moment, μB per atom: 0.112

Structure (CIF):
```
data_Tb2TcO6
_symmetry_space_group_name_H-M 'P 1 21/c 1'
_symmetry_Int_Tables_number 14
_symmetry_space_group_name_Hall '-P 2ybc'
_cell_length_a 5.4262
_cell_length_b 5.8139
_cell_length_c 8.9679
_cell_angle_alpha 90.00
_cell_angle_beta 120.16
_cell_angle_gamma 90.00
loop_
_atom_site_label
_atom_site_type_symbol
_atom_site_fract_x
_atom_site_fract_y
_atom_site_fract_z
Tb1 Tb 0.1931 0.0892 0.2346
Tc1 Tc 0.5000 0.0000 0.0000
O1 O 0.1524 0.1705 0.9469
O2 O 0.2674 0.7292 0.9082
O3 O 0.4367 0.0748 0.7748
```

2) A plane-wave DFT calculation with PBE was carried out for a relaxed structure of Tb2TcO6.

Calculated values
Total moment, μB per atom: 0.112

Structure (CIF):
```
data_Tb2TcO6
_symmetry_space_group_name_H-M 'P 42/m n m'
_symmetry_Int_Tables_number 136
_symmetry_space_group_name_Hall '-P 4n 2n'
_cell_length_a 5.0118
_cell_length_b 5.0118
_cell_length_c 10.0372
_cell_angle_alpha 90.00
_cell_angle_beta 90.00
_cell_angle_gamma 90.00
loop_
_atom_site_label
_atom_site_type_symbol
_atom_site_fract_x
_atom_site_fract_y
_atom_site_fract_z
Tb1 Tb 0.0000 0.0000 0.1720
Tc1 Tc 0.0000 0.0000 0.5000
O1 O 0.1865 0.1865 0.3539
O2 O 0.2329 0.2329 0.0000
```

The data favor 1); the next most stable structure lies 28 meV/atom above it.

1) A plane-wave DFT calculation with PBE was carried out for a relaxed structure of Tb2Te2O.

Calculated values
Total moment, μB per atom: 0.000

Structure (CIF):
```
data_Tb2Te2O
_symmetry_space_group_name_H-M 'C 1 2/m 1'
_symmetry_Int_Tables_number 12
_symmetry_space_group_name_Hall '-C 2y'
_cell_length_a 13.3842
_cell_length_b 3.9793
_cell_length_c 11.3871
_cell_angle_alpha 90.00
_cell_angle_beta 123.84
_cell_angle_gamma 90.00
loop_
_atom_site_label
_atom_site_type_symbol
_atom_site_fract_x
_atom_site_fract_y
_atom_site_fract_z
Tb1 Tb 0.0272 0.0000 0.1724
Tb2 Tb 0.1864 0.0000 0.5723
Te1 Te 0.0299 0.5000 0.6674
Te2 Te 0.1636 0.5000 0.0895
O1 O 0.2114 0.0000 0.3874
```

2) A plane-wave DFT calculation with PBE was carried out for a relaxed structure of Tb2Te2O.

Calculated values
Total moment, μB per atom: 0.000

Structure (CIF):
```
data_Tb2Te2O
_symmetry_space_group_name_H-M 'I b a m'
_symmetry_Int_Tables_number 72
_symmetry_space_group_name_Hall '-I 2 2c'
_cell_length_a 7.2384
_cell_length_b 11.8193
_cell_length_c 5.9758
_cell_angle_alpha 90.00
_cell_angle_beta 90.00
_cell_angle_gamma 90.00
loop_
_atom_site_label
_atom_site_type_symbol
_atom_site_fract_x
_atom_site_fract_y
_atom_site_fract_z
Tb1 Tb 0.1906 0.0932 0.0000
Te1 Te 0.1409 0.3549 0.0000
O1 O 0.0000 0.0000 0.2500
```

The data favor 1); the next most stable structure lies 6 meV/atom above it.

1) A plane-wave DFT calculation with PBE was carried out for a relaxed structure of TbTlO.

Calculated values
Total moment, μB per atom: 0.000

Structure (CIF):
```
data_TbTlO
_symmetry_space_group_name_H-M 'I 4 m m'
_symmetry_Int_Tables_number 107
_symmetry_space_group_name_Hall 'I 4 -2'
_cell_length_a 3.2679
_cell_length_b 3.2679
_cell_length_c 12.9139
_cell_angle_alpha 90.00
_cell_angle_beta 90.00
_cell_angle_gamma 90.00
loop_
_atom_site_label
_atom_site_type_symbol
_atom_site_fract_x
_atom_site_fract_y
_atom_site_fract_z
Tb1 Tb 0.0000 0.0000 0.0000
Tl1 Tl 0.0000 0.0000 0.2656
O1 O 0.0000 0.0000 0.5085
```

2) A plane-wave DFT calculation with PBE was carried out for a relaxed structure of TbTlO.

Calculated values
Total moment, μB per atom: 0.000

Structure (CIF):
```
data_TbTlO
_symmetry_space_group_name_H-M 'P -3 m 1'
_symmetry_Int_Tables_number 164
_symmetry_space_group_name_Hall '-P 3 2"'
_cell_length_a 3.7878
_cell_length_b 3.7878
_cell_length_c 11.7082
_cell_angle_alpha 90.00
_cell_angle_beta 90.00
_cell_angle_gamma 120.00
loop_
_atom_site_label
_atom_site_type_symbol
_atom_site_fract_x
_atom_site_fract_y
_atom_site_fract_z
Tb1 Tb 0.3333 0.6667 0.3764
Tl1 Tl 0.3333 0.6667 0.1051
O1 O 0.3333 0.6667 0.5794
```

The data favor 2); the next most stable structure lies 124 meV/atom above it.